1.
Computed, not measured: a relaxed Tl3Ge2Br7 crystal at the GGA-PBE level of DFT.

uncorrected energy: -3.03 eV per atom

a = 5.5253 Å, b = 5.5253 Å, c = 27.4746 Å
α = 90.00°, β = 90.00°, γ = 90.00°
Closest atoms and distances in Å follow each position.
Space group I4/mmm (No. 139)
One atom of each set of equivalent atoms:
Tl: 0.0000 0.0000 0.0000 [2 per cell]  12 Br 3.88-3.91
Tl: 0.0000 0.0000 0.1798 [4 per cell]  5 Br 3.24-3.54
Ge: 0.0000 0.0000 0.3963 [4 per cell]  6 Br 2.71-2.85
Br: 0.0000 0.0000 0.2978 [4 per cell]  1 Ge 2.71
Br: 0.0000 0.0000 0.5000 [2 per cell]  2 Ge 2.85
Br: 0.0000 0.5000 0.0993 [8 per cell]  2 Ge 2.77

2.
Computed, not measured: a relaxed PrZnAgPd crystal at the GGA-PBE level of DFT.

energy of formation from the pure elements: -0.462 eV/atom
uncorrected energy: -3.99 eV per atom
energy relative to the lowest polymorph listed for this composition: 0 meV per atom

a = 7.8655 Å, b = 4.5521 Å, c = 5.4693 Å
α = 90.00°, β = 118.66°, γ = 90.00°
Closest atoms and distances in Å follow each position.
Space group Cm (No. 8)
One atom of each set of equivalent atoms:
Pr: 0.0000 0.0000 0.0000 [2 per cell]  4 Ag 3.05-3.15, 4 Pd 3.07-3.15, 3 Zn 3.38
Zn: 0.4811 0.0000 0.4432 [2 per cell]  3 Pd 2.65-2.66, 3 Ag 2.78-2.79
Ag: 0.2123 0.0000 0.6365 [2 per cell]  3 Zn 2.78-2.79, 3 Pd 2.94, 1 Pr 3.05
Pd: 0.2871 0.5000 0.3612 [2 per cell]  3 Zn 2.65-2.66, 3 Ag 2.94

3.
Computed, not measured: a relaxed CaTi2P2 crystal at the GGA-PBE level of DFT.

energy of formation from the pure elements: -0.601 eV/atom
uncorrected energy: -6.32 eV per atom
energy relative to the lowest polymorph listed for this composition: 184 meV per atom

a = 4.7208 Å, b = 4.7208 Å, c = 8.8414 Å
α = 90.00°, β = 90.00°, γ = 90.00°
Closest atoms and distances in Å follow each position.
Space group I4/mmm (No. 139)
One atom of each set of equivalent atoms:
Ca: 0.0000 0.0000 0.0000 [2 per cell]  2 Ti 3.01, 8 P 3.23
Ti: 0.0000 0.0000 0.3400 [4 per cell]  4 P 2.49
P: 0.0000 0.5000 0.2500 [4 per cell]  4 Ti 2.49

4.
Computed, not measured: a relaxed Cr3NiC crystal at the GGA-PBE level of DFT.

energy of formation from the pure elements: 0.041 eV/atom
uncorrected energy: -8.73 eV per atom
energy relative to the lowest polymorph listed for this composition: 0 meV per atom

a = 2.7204 Å, b = 5.0881 Å, c = 8.2028 Å
α = 74.28°, β = 90.00°, γ = 74.54°
Closest atoms and distances in Å follow each position.
Space group P-1 (No. 2)
One atom of each set of equivalent atoms:
Cr: 0.0810 0.3404 0.1430 [2 per cell]  2 C 1.92-1.93
Cr: 0.1954 0.1079 0.6054 [2 per cell]  1 C 1.98
Cr: 0.3473 0.8035 0.1102 [2 per cell]  3 C 1.93-2.01
Ni: 0.4630 0.5730 0.6224 [2 per cell]  1 Ni 2.31, 6 Cr 2.44-2.59
C: 0.2810 0.9379 0.8552 [2 per cell]  6 Cr 1.92-2.01

5.
Computed, not measured: a relaxed Tb2Sm3Mg8 crystal at the GGA-PBE level of DFT.

energy of formation from the pure elements: 0.109 eV/atom
uncorrected energy: -2.67 eV per atom

a = 5.8592 Å, b = 5.8592 Å, c = 37.5149 Å
α = 90.00°, β = 90.00°, γ = 120.00°
Closest atoms and distances in Å follow each position.
Space group R-3m (No. 166, hexagonal axes)
One atom of each set of equivalent atoms:
Tb: 0.0000 0.0000 0.1401 [6 per cell]  4 Mg 3.18-3.30, 3 Sm 3.53
Sm: 0.0000 0.0000 0.3165 [6 per cell]  10 Mg 3.43-3.49, 3 Sm 3.61
Sm: 0.0000 0.0000 0.5000 [3 per cell]  6 Tb 3.53
Mg: 0.0000 0.0000 0.2249 [6 per cell]  1 Tb 3.18, 6 Mg 3.36, 1 Sm 3.44
Mg: 0.0009 0.5005 0.2688 [18 per cell]  4 Mg 2.92-2.94

6.
Computed, not measured: a relaxed TbB2Rh6 crystal at the GGA-PBE level of DFT.

energy of formation from the pure elements: -0.088 eV/atom
uncorrected energy: -6.99 eV per atom

a = 10.5194 Å, b = 10.5194 Å, c = 10.5194 Å
α = 90.00°, β = 90.00°, γ = 90.00°
Closest atoms and distances in Å follow each position.
Space group Fd-3m (No. 227, origin choice 2)
One atom of each set of equivalent atoms:
Tb: 0.1250 0.1250 0.1250 [8 per cell]  6 Rh 3.05
B: 0.0000 0.0000 0.5000 [16 per cell]  6 Rh 2.06
Rh: 0.0846 0.3750 0.8750 [48 per cell]  2 B 2.06